Below is a relaxed structure of NbCoF2, with properties calculated at the GGA+U level.

- M_tot (μB per formula unit) = 0.0
- calculated total energy (eV per atom) = -4.859
- N(E_F) (states/eV/cell) = 4.31
- calculated volume (Å³/cell) = 46.0

Lattice parameters (Å, degrees): 4.0205 4.0205 4.0205 60.00 60.00 60.00
With the nearest neighbours (Å) after each atom.
Positions (direct):
Co: 0.0000 0.0000 0.0000  8 F 2.46
F: 0.2500 0.2500 0.2500  4 Nb 2.46, 4 Co 2.46
F: 0.7500 0.7500 0.7500  4 Nb 2.46, 4 Co 2.46
Nb: 0.5000 0.5000 0.5000  8 F 2.46